GaSI2 after structural relaxation. Source: Alexandria, functional PBE-GGA.

Values from the calculation:
energy above the lowest structure with this stoichiometry	0	meV/atom
space group	I-42d, No. 122
calculated volume	329.1	Å³ per cell
E_form (uncorrected)	1.26	eV per formula unit

Lattice parameters (Å, degrees): 6.133 6.133 9.764 71.70 71.70 90.00
Sites, in units of the cell vectors:
1 S 0.250 0.750 0.500
2 S 0.500 0.500 0.000
3 I 0.550 0.125 0.250
4 I 0.375 0.450 0.750
5 I 0.875 0.800 0.750
6 I 0.200 0.625 0.250
7 Ga 0.750 0.250 0.500
8 Ga 0.000 0.000 0.000

=====

GaSI3 after structural relaxation. Source: Alexandria, functional PBE-GGA.

Values from the calculation:
energy above the lowest structure with this stoichiometry	0	meV/atom
space group	P-1, No. 2
calculated volume	1161.1	Å³ per cell
E_form (uncorrected)	-1.34	eV per formula unit

Lattice parameters (Å, degrees): 31.995 8.035 8.181 115.89 56.36 74.68
Last column: magnetic moment on the atom in μB.
Sites, in units of the cell vectors:
1 I 0.897 0.729 0.288  0.01
2 I 0.849 0.469 0.774  0.00
3 I 0.762 0.250 0.201  0.01
4 I 0.151 0.531 0.226  0.00
5 I 0.630 0.091 0.606  0.01
6 I 0.238 0.750 0.799  0.01
7 I 0.103 0.271 0.712  0.01
8 I 0.701 0.444 0.919  0.00
9 I 0.299 0.556 0.081  0.00
10 I 0.287 0.094 0.138  0.00
11 I 0.370 0.909 0.394  0.01
12 I 0.713 0.906 0.862  0.00
13 S 0.988 0.629 0.512  0.56
14 S 0.012 0.371 0.488  0.56
15 S 0.500 0.567 0.428  0.59
16 S 0.500 0.433 0.572  0.59
17 Ga 0.273 0.263 0.932  0.01
18 Ga 0.219 0.936 0.196  0.00
19 Ga 0.781 0.064 0.804  0.00
20 Ga 0.727 0.737 0.068  0.01

=====

Ga2S2I after structural relaxation. Source: Alexandria, functional PBE-GGA.

Values from the calculation:
space group	I4_1md, No. 109
calculated volume	299.6	Å³ per cell
E_form (uncorrected)	-2.13	eV per formula unit

Lattice parameters (Å, degrees): 8.042 8.042 7.335 123.25 123.25 90.00
Sites, in units of the cell vectors:
1 Ga 0.414 0.222 0.828
2 Ga 0.414 0.606 0.828
3 Ga 0.472 0.164 0.328
4 Ga 0.856 0.164 0.328
5 S 0.636 0.410 0.819
6 S 0.660 0.934 0.319
7 S 0.660 0.386 0.319
8 S 0.184 0.410 0.819
9 I 0.284 0.784 0.568
10 I 0.034 0.034 0.068

=====

GaSbSI2 after structural relaxation. Source: Alexandria, functional PBE-GGA.

Values from the calculation:
energy above the lowest structure with this stoichiometry	0	meV/atom
space group	P4/mmm, No. 123
calculated volume	172.6	Å³ per cell
E_form (uncorrected)	1.83	eV per formula unit

Lattice parameters (Å, degrees): 5.756 5.756 5.212 90.00 90.00 90.00
Sites, in units of the cell vectors:
1 Sb 0.000 0.000 0.500
2 I 0.500 0.000 0.000
3 I 0.000 0.500 0.000
4 Ga 0.500 0.500 0.500
5 S 0.000 0.000 0.000

=====

GaSb2SI after structural relaxation. Source: Alexandria, functional PBE-GGA.

Values from the calculation:
energy above the lowest structure with this stoichiometry	0	meV/atom
space group	P4/mmm, No. 123
calculated volume	157.9	Å³ per cell
E_form (uncorrected)	2.45	eV per formula unit

Lattice parameters (Å, degrees): 5.271 5.271 5.683 90.00 90.00 90.00
Sites, in units of the cell vectors:
1 S 0.000 0.000 0.000
2 Ga 0.500 0.500 0.500
3 Sb 0.000 0.500 0.000
4 Sb 0.500 0.000 0.000
5 I 0.000 0.000 0.500

=====

GaSbSI2 after structural relaxation. Source: Alexandria, functional PBE-GGA.

Values from the calculation:
energy above the lowest structure with this stoichiometry	253	meV/atom
space group	P4/mmm, No. 123
calculated volume	164.4	Å³ per cell
E_form (uncorrected)	3.10	eV per formula unit

Lattice parameters (Å, degrees): 5.376 5.376 5.690 90.00 90.00 90.00
Sites, in units of the cell vectors:
1 Ga 0.000 0.000 0.000
2 S 0.500 0.500 0.500
3 I 0.500 0.000 0.000
4 I 0.000 0.500 0.000
5 Sb 0.000 0.000 0.500

=====

GaSb2SI after structural relaxation. Source: Alexandria, functional PBE-GGA.

Values from the calculation:
energy above the lowest structure with this stoichiometry	240	meV/atom
space group	P4/mmm, No. 123
calculated volume	155.0	Å³ per cell
E_form (uncorrected)	3.65	eV per formula unit

Lattice parameters (Å, degrees): 5.413 5.413 5.289 90.00 90.00 90.00
Sites, in units of the cell vectors:
1 Sb 0.500 0.000 0.000
2 Sb 0.000 0.500 0.000
3 Ga 0.000 0.000 0.000
4 I 0.000 0.000 0.500
5 S 0.500 0.500 0.500

=====

GaSeS2I after structural relaxation. Source: Alexandria, functional PBE-GGA.

Values from the calculation:
space group	P4/mmm, No. 123
calculated volume	155.8	Å³ per cell
E_form (uncorrected)	2.15	eV per formula unit

Lattice parameters (Å, degrees): 4.453 7.857 4.453 90.00 90.00 90.00
Sites, in units of the cell vectors:
1 Se 0.500 0.500 0.500
2 S 0.500 0.000 0.000
3 S 0.000 0.000 0.500
4 Ga 0.000 0.000 0.000
5 I 0.000 0.500 0.000

=====

Sm6Ga2SI3 after structural relaxation. Source: Alexandria, functional PBE-GGA.

Values from the calculation:
space group	C2/m, No. 12
calculated volume	356.2	Å³ per cell
E_form (uncorrected)	-12.10	eV per formula unit

Lattice parameters (Å, degrees): 7.346 7.346 7.999 98.80 98.80 119.93
Sites, in units of the cell vectors:
1 Sm 0.066 0.395 0.198
2 Sm 0.605 0.934 0.802
3 Sm 0.934 0.605 0.802
4 Sm 0.395 0.066 0.198
5 Sm 0.737 0.737 0.198
6 Sm 0.263 0.263 0.802
7 S 0.000 0.000 0.000
8 I 0.831 0.169 0.500
9 I 0.169 0.831 0.500
10 I 0.500 0.500 0.500
11 Ga 0.333 0.667 0.000
12 Ga 0.667 0.333 0.000

=====

GaSnSI2 after structural relaxation. Source: Alexandria, functional PBE-GGA.

Values from the calculation:
space group	P4/mmm, No. 123
calculated volume	163.1	Å³ per cell
E_form (uncorrected)	1.66	eV per formula unit

Lattice parameters (Å, degrees): 5.729 4.968 5.729 90.00 90.00 90.00
Sites, in units of the cell vectors:
1 S 0.000 0.000 0.000
2 Ga 0.000 0.500 0.000
3 I 0.500 0.000 0.000
4 I 0.000 0.000 0.500
5 Sn 0.500 0.500 0.500

=====

Ga2SnSI after structural relaxation. Source: Alexandria, functional PBE-GGA.

Values from the calculation:
space group	P4/mmm, No. 123
calculated volume	167.1	Å³ per cell
E_form (uncorrected)	0.54	eV per formula unit

Lattice parameters (Å, degrees): 5.557 5.412 5.557 90.00 90.00 90.00
Sites, in units of the cell vectors:
1 Ga 0.500 0.000 0.000
2 Ga 0.000 0.000 0.500
3 I 0.500 0.500 0.500
4 Sn 0.000 0.500 0.000
5 S 0.000 0.000 0.000

=====

GaTeSI2 after structural relaxation. Source: Alexandria, functional PBE-GGA.

Values from the calculation:
energy above the lowest structure with this stoichiometry	295	meV/atom
space group	P4/mmm, No. 123
calculated volume	172.2	Å³ per cell
E_form (uncorrected)	2.87	eV per formula unit

Lattice parameters (Å, degrees): 5.607 5.607 5.479 90.00 90.00 90.00
Last column: magnetic moment on the atom in μB.
Sites, in units of the cell vectors:
1 I 0.500 0.000 0.000  0.07
2 I 0.000 0.500 0.000  0.07
3 Te 0.000 0.000 0.500  0.12
4 Ga 0.000 0.000 0.000  -0.01
5 S 0.500 0.500 0.500  1.01

=====

GaTeSI2 after structural relaxation. Source: Alexandria, functional PBE-GGA.

Values from the calculation:
energy above the lowest structure with this stoichiometry	0	meV/atom
space group	P4/mmm, No. 123
calculated volume	170.5	Å³ per cell
E_form (uncorrected)	1.40	eV per formula unit

Lattice parameters (Å, degrees): 5.624 5.624 5.388 90.00 90.00 90.00
Sites, in units of the cell vectors:
1 I 0.500 0.000 0.000
2 I 0.000 0.500 0.000
3 Te 0.000 0.000 0.500
4 S 0.000 0.000 0.000
5 Ga 0.500 0.500 0.500

=====

GaTe2SI after structural relaxation. Source: Alexandria, functional PBE-GGA.

Values from the calculation:
energy above the lowest structure with this stoichiometry	0	meV/atom
space group	P4/mmm, No. 123
calculated volume	161.6	Å³ per cell
E_form (uncorrected)	1.69	eV per formula unit

Lattice parameters (Å, degrees): 5.336 5.336 5.674 90.00 90.00 90.00
Sites, in units of the cell vectors:
1 Te 0.000 0.500 0.000
2 Te 0.500 0.000 0.000
3 S 0.000 0.000 0.000
4 I 0.000 0.000 0.500
5 Ga 0.500 0.500 0.500

=====

GaTe2SI after structural relaxation. Source: Alexandria, functional PBE-GGA.

Values from the calculation:
energy above the lowest structure with this stoichiometry	337	meV/atom
space group	P4/mmm, No. 123
calculated volume	157.4	Å³ per cell
E_form (uncorrected)	3.37	eV per formula unit

Lattice parameters (Å, degrees): 5.452 5.452 5.294 90.00 90.00 90.00
Sites, in units of the cell vectors:
1 Te 0.000 0.500 0.000
2 Te 0.500 0.000 0.000
3 Ga 0.000 0.000 0.000
4 I 0.000 0.000 0.500
5 S 0.500 0.500 0.500

=====

ZnGaSI2 after structural relaxation. Source: Alexandria, functional PBE-GGA.

Values from the calculation:
space group	P4/mmm, No. 123
calculated volume	152.0	Å³ per cell
E_form (uncorrected)	0.72	eV per formula unit

Lattice parameters (Å, degrees): 5.787 4.537 5.787 90.00 90.00 90.00
Sites, in units of the cell vectors:
1 I 0.000 0.000 0.500
2 I 0.500 0.000 0.000
3 Zn 0.500 0.500 0.500
4 Ga 0.000 0.000 0.000
5 S 0.000 0.500 0.000

=====

Ga12Sb3I5 after structural relaxation. Source: Alexandria, functional PBE-GGA.

Values from the calculation:
space group	Ia-3d, No. 230
calculated volume	2816.3	Å³ per cell
E_form (uncorrected)	1.51	eV per formula unit

Lattice parameters (Å, degrees): 15.409 15.409 15.409 109.47 109.47 109.47
Sites, in units of the cell vectors:
1 Ga 0.845 0.916 0.078
2 Ga 0.078 0.416 0.845
3 Ga 0.155 0.071 0.733
4 Ga 0.584 0.922 0.655
5 Ga 0.655 0.422 0.584
6 Ga 0.416 0.078 0.345
7 Ga 0.838 0.571 0.916
8 Ga 0.916 0.845 0.578
9 Ga 0.929 0.084 0.662
10 Ga 0.338 0.416 0.071
11 Ga 0.267 0.838 0.922
12 Ga 0.733 0.571 0.155
13 Ga 0.767 0.345 0.929
14 Ga 0.345 0.578 0.416
15 Ga 0.584 0.662 0.429
16 Ga 0.571 0.733 0.655
17 Ga 0.922 0.338 0.267
18 Ga 0.916 0.071 0.838
19 Ga 0.416 0.338 0.571
20 Ga 0.578 0.233 0.162
21 Ga 0.084 0.155 0.422
22 Ga 0.071 0.916 0.338
23 Ga 0.071 0.155 0.233
24 Ga 0.422 0.655 0.084
25 Ga 0.345 0.767 0.429
26 Ga 0.662 0.078 0.233
27 Ga 0.733 0.162 0.078
28 Ga 0.422 0.767 0.838
29 Ga 0.162 0.733 0.578
30 Ga 0.084 0.929 0.162
31 Ga 0.267 0.429 0.845
32 Ga 0.233 0.578 0.662
33 Ga 0.767 0.422 0.338
34 Ga 0.655 0.233 0.571
35 Ga 0.338 0.922 0.767
36 Ga 0.155 0.084 0.922
37 Ga 0.571 0.838 0.416
38 Ga 0.233 0.655 0.071
39 Ga 0.845 0.929 0.267
40 Ga 0.162 0.429 0.084
41 Ga 0.578 0.345 0.916
42 Ga 0.078 0.662 0.733
43 Ga 0.429 0.162 0.584
44 Ga 0.929 0.845 0.767
45 Ga 0.838 0.267 0.422
46 Ga 0.662 0.584 0.929
47 Ga 0.429 0.267 0.345
48 Ga 0.922 0.584 0.155
49 I 0.125 0.375 0.250
50 I 0.000 0.000 0.000
51 I 0.750 0.125 0.875
52 I 0.375 0.250 0.125
53 I 0.625 0.750 0.875
54 I 0.250 0.875 0.125
55 I 0.000 0.500 0.500
56 I 0.500 0.000 0.000
57 I 0.875 0.250 0.625
58 I 0.875 0.625 0.750
59 I 0.000 0.000 0.500
60 I 0.375 0.125 0.750
61 I 0.250 0.375 0.625
62 I 0.500 0.000 0.500
63 I 0.000 0.500 0.000
64 I 0.625 0.875 0.250
65 I 0.500 0.500 0.000
66 I 0.750 0.625 0.375
67 I 0.125 0.750 0.375
68 I 0.500 0.500 0.500
69 Sb 0.875 0.750 0.125
70 Sb 0.375 0.625 0.250
71 Sb 0.625 0.375 0.750
72 Sb 0.750 0.875 0.625
73 Sb 0.250 0.625 0.875
74 Sb 0.875 0.125 0.250
75 Sb 0.375 0.750 0.625
76 Sb 0.125 0.875 0.750
77 Sb 0.125 0.250 0.875
78 Sb 0.625 0.250 0.375
79 Sb 0.250 0.125 0.375
80 Sb 0.750 0.375 0.125

=====

GaSbI2 after structural relaxation. Source: Alexandria, functional PBE-GGA.

Values from the calculation:
energy above the lowest structure with this stoichiometry	52	meV/atom
space group	Fm-3m, No. 225
calculated volume	124.0	Å³ per cell
E_form (uncorrected)	0.80	eV per formula unit

Lattice parameters (Å, degrees): 5.597 5.597 5.597 60.00 60.00 60.00
Sites, in units of the cell vectors:
1 Ga 0.000 0.000 0.000
2 I 0.750 0.750 0.750
3 I 0.250 0.250 0.250
4 Sb 0.500 0.500 0.500

=====

GaSb5I2 after structural relaxation. Source: Alexandria, functional PBE-GGA.

Values from the calculation:
space group	P1, No. 1
calculated volume	355.0	Å³ per cell
E_form (uncorrected)	0.42	eV per formula unit

Lattice parameters (Å, degrees): 8.370 8.438 6.227 114.15 113.72 92.91
Sites, in units of the cell vectors:
1 Sb 0.636 0.635 0.415
2 Sb 0.719 0.379 0.006
3 Sb 0.711 0.708 0.957
4 Sb 0.348 0.351 0.921
5 Sb 0.381 0.722 0.013
6 I 0.764 0.170 0.461
7 I 0.172 0.768 0.471
8 Ga 0.046 0.044 0.309

=====

GaSb2I after structural relaxation. Source: Alexandria, functional PBE-GGA.

Values from the calculation:
energy above the lowest structure with this stoichiometry	0	meV/atom
space group	I-42d, No. 122
calculated volume	285.2	Å³ per cell
E_form (uncorrected)	1.23	eV per formula unit

Lattice parameters (Å, degrees): 7.529 7.529 7.326 59.08 59.08 90.00
Sites, in units of the cell vectors:
1 Sb 0.875 0.816 0.750
2 Sb 0.375 0.434 0.750
3 Sb 0.184 0.625 0.250
4 Sb 0.566 0.125 0.250
5 I 0.750 0.250 0.500
6 I 0.000 0.000 0.000
7 Ga 0.500 0.500 0.000
8 Ga 0.250 0.750 0.500

=====

Number 1: total magnetization 0.0 μB/cell. Number 2: total magnetization 4.0 μB/cell. Number 3: total magnetization 0.0 μB/cell. Number 4: total magnetization 0.0 μB/cell. Number 5: total magnetization 0.0 μB/cell. Number 6: total magnetization 0.0 μB/cell. Number 7: total magnetization 0.0 μB/cell. Number 8: total magnetization 0.0 μB/cell. Number 9: total magnetization 0.0 μB/cell. Number 10: total magnetization 0.0 μB/cell. Number 11: total magnetization 0.0 μB/cell. Number 12: total magnetization 2.1 μB/cell. Number 13: total magnetization 0.0 μB/cell. Number 14: total magnetization 0.0 μB/cell. Number 15: total magnetization 0.0 μB/cell. Number 16: total magnetization 0.0 μB/cell. Number 17: total magnetization 0.0 μB/cell. Number 18: total magnetization 0.0 μB/cell. Number 19: total magnetization 0.0 μB/cell. Number 20: total magnetization 0.0 μB/cell.